Here is an optimized crystal structure of Ba3SmSn8 from the Alexandria database. Energies are from PBE.

```
data_Ba3SmSn8
_chemical_formula_sum 'Ba6 Sm2 Sn16'
_symmetry_space_group_name_H-M 'I -4 2 m'
_symmetry_Int_Tables_number 121
_symmetry_space_group_name_Hall 'I -4 2'
_cell_length_a 9.655
_cell_length_b 9.655
_cell_length_c 10.347
_cell_angle_alpha 90.00
_cell_angle_beta 90.00
_cell_angle_gamma 90.00
loop_
_atom_site_label
_atom_site_type_symbol
_atom_site_fract_x
_atom_site_fract_y
_atom_site_fract_z
Ba1 Ba 0.000 0.000 0.000
Ba2 Ba 0.000 0.500 0.250
Sm1 Sm 0.000 0.000 0.500
Sn1 Sn 0.154 0.154 0.285
Sn2 Sn 0.224 0.224 0.574
```

## Properties
energy relative to the elements	-0.221	eV per atom
uncorrected energy	-3.764	eV/atom